{
  "formula": "Sr3Sm3Te8Pb",
  "functional": "PBE-GGA",
  "state": "optimized geometry",
  "crystal_system": "trigonal",
  "n_ef_per_ev_atom": 0.281,
  "raw_formation_energy_mev_per_atom": -1392,
  "cell": [[-6.1905, 5.5140, 3.7612], [-2.6681, -7.5166, -4.3887], [4.2728, -0.7635, 8.1518]],
  "species": ["Sr", "Sr", "Sr", "Sm", "Sm", "Sm", "Te", "Te", "Te", "Te", "Te", "Te", "Te", "Te", "Pb"],
  "fractional_positions": [[0.0000, 0.0000, 0.0000], [0.0000, 0.5000, 0.0000], [0.5000, 0.5000, 0.0000], [0.5000, 0.0000, 0.5000], [0.5000, 0.5000, 0.5000], [0.0000, 0.5000, 0.5000], [0.2547, 0.5093, 0.2640], [0.7453, 0.4907, 0.7360], [0.7473, 0.4947, 0.2606], [0.2527, 0.5053, 0.7394], [0.7474, 0.0132, 0.2606], [0.2526, 0.9868, 0.7394], [0.2659, 0.0132, 0.2606], [0.7341, 0.9868, 0.7394], [0.0000, 0.0000, 0.5000]]
}



{
  "formula": "SrSmZnPb",
  "functional": "PBE-GGA",
  "state": "optimized geometry",
  "crystal_system": "cubic",
  "n_ef_per_ev_atom": 1.031,
  "formation_energy_kj_per_mol_atoms": -32.0,
  "cell": [[5.5118, 0.0000, 0.0000], [2.7559, 4.7733, 0.0000], [2.7559, 1.5911, 4.5004]],
  "species": ["Pb", "Sr", "Zn", "Sm"],
  "fractional_positions": [[0.5000, 0.5000, 0.5000], [0.2500, 0.2500, 0.2500], [0.0000, 0.0000, 0.0000], [0.7500, 0.7500, 0.7500]]
}



{
  "formula": "TbSmPb2",
  "functional": "PBE-GGA",
  "state": "optimized geometry",
  "crystal_system": "monoclinic",
  "n_ef_per_ev_atom": 0.675,
  "formation_energy_kj_per_mol_atoms": -50.1,
  "cell": [[4.2924, 0.0000, -1.5599], [0.0000, 4.4828, 0.0000], [-0.1258, 0.0000, 6.3205]],
  "species": ["Tb", "Sm", "Pb", "Pb"],
  "fractional_positions": [[0.4531, 0.5000, 0.4432], [0.7125, 0.0000, 0.9662], [0.1806, 0.5000, 0.9026], [0.9848, 0.0000, 0.5060]]
}



no.,mass density (g/cm³)
1,5.916
2,7.161
3,9.953